Entry 1:
Compound: CrSi4
Source: Alexandria
Functional: PBE
Structure: optimized geometry Values from VASP.

Structure (Quantum ESPRESSO input):
```
&SYSTEM
  ibrav = 0, nat = 5, ntyp = 2
/
ATOMIC_SPECIES
Cr 52.00 Cr.upf
Si 28.09 Si.upf
CELL_PARAMETERS angstrom
-0.239 3.704 2.758
-4.268 -1.276 -1.242
2.051 -3.474 2.260
ATOMIC_POSITIONS angstrom
Cr 0.000 0.000 0.000
Si -2.134 -0.638 -0.621
Si 1.026 -1.737 1.130
Si -1.228 -0.523 1.888
Si -0.120 1.852 1.379
```

Calculated values
Formation energy without anion corrections ... 0.137 eV/atom
Raw total energy ... -30.63 eV for the cell shown
Calculated density ... 3584 kg/m3
Energy above the most stable polymorph in this dataset ... 0 meV per atom

***

Entry 2:
Compound: TcRuO5
Source: Alexandria
Functional: PBE
Structure: optimized geometry Values from VASP.

Structure (Quantum ESPRESSO input):
```
&SYSTEM
  ibrav = 0, nat = 14, ntyp = 3
/
ATOMIC_SPECIES
Tc 98.00 Tc.upf
Ru 101.07 Ru.upf
O 16.00 O.upf
CELL_PARAMETERS angstrom
-4.979 0.225 3.482
0.137 -0.398 -6.066
1.233 -6.550 1.088
ATOMIC_POSITIONS angstrom
Tc 0.000 0.000 0.000
Tc 0.617 -3.275 0.544
Ru -1.826 -1.759 -1.554
Ru -1.782 -4.964 0.059
O -0.156 -0.967 -1.711
O -2.969 -3.331 -0.548
O -0.943 -4.071 1.451
O 0.052 -1.987 -5.060
O -1.941 -0.033 -0.212
O -1.667 -6.689 -1.283
O -3.661 -4.735 3.565
O -2.666 -2.651 -2.946
O -0.639 -3.392 -0.947
O -3.452 -5.756 0.216
```

Calculated values
Formation energy without anion corrections ... -0.822 eV/atom
Raw total energy ... -100.38 eV for the cell shown
Calculated density ... 4708 kg/m3

***

Entry 3:
Compound: K2SnSeS
Source: Alexandria
Functional: PBE
Structure: optimized geometry Values from VASP.

Structure (Quantum ESPRESSO input):
```
&SYSTEM
  ibrav = 0, nat = 10, ntyp = 4
/
ATOMIC_SPECIES
K 39.10 K.upf
Sn 118.71 Sn.upf
Se 78.96 Se.upf
S 32.06 S.upf
CELL_PARAMETERS angstrom
4.256 0.000 0.000
0.000 7.300 -0.400
0.000 -3.590 11.563
ATOMIC_POSITIONS angstrom
K 3.192 3.586 6.871
K 3.192 5.728 -0.267
K 1.064 0.123 4.292
K 1.064 -2.019 11.430
Sn 1.064 0.398 8.733
Sn 3.192 3.312 2.431
Se 1.064 3.647 4.155
Se 3.192 0.063 7.008
S 1.064 2.863 9.113
S 3.192 0.847 2.051
```

Calculated values
Formation energy without anion corrections ... -0.893 eV/atom
Raw total energy ... -36.55 eV for the cell shown
Calculated density ... 2896 kg/m3

***

Entry 4:
Compound: Tb6Er2Tm3Sc
Source: Alexandria
Functional: PBE
Structure: optimized geometry Values from VASP.

Structure (Quantum ESPRESSO input):
```
&SYSTEM
  ibrav = 0, nat = 12, ntyp = 4
/
ATOMIC_SPECIES
Tb 158.93 Tb.upf
Er 167.26 Er.upf
Tm 168.93 Tm.upf
Sc 44.96 Sc.upf
CELL_PARAMETERS angstrom
6.081 0.002 0.002
-3.038 5.268 0.002
-1.016 -1.759 11.408
ATOMIC_POSITIONS angstrom
Tb 3.035 1.768 8.579
Tb 2.034 3.522 2.837
Tb -1.007 1.743 2.833
Tb 0.015 3.512 8.579
Tb -0.006 -0.011 8.575
Tb 2.013 -0.001 2.833
Er 0.002 3.513 0.002
Er 3.042 1.757 0.002
Tm -2.027 3.512 5.706
Tm 4.055 -0.001 5.706
Tm 1.014 1.756 5.706
Sc 0.000 0.000 0.000
```

Calculated values
Raw total energy ... -56.32 eV for the cell shown
Calculated density ... 8356 kg/m3
Formation energy from the elements ... 0.0278 eV/atom

***

Please write out number 4 again, unchanged.
Compound: Tb6Er2Tm3Sc
Source: Alexandria
Functional: PBE
Structure: optimized geometry Values from VASP.

Structure (Quantum ESPRESSO input):
```
&SYSTEM
  ibrav = 0, nat = 12, ntyp = 4
/
ATOMIC_SPECIES
Tb 158.93 Tb.upf
Er 167.26 Er.upf
Tm 168.93 Tm.upf
Sc 44.96 Sc.upf
CELL_PARAMETERS angstrom
6.081 0.002 0.002
-3.038 5.268 0.002
-1.016 -1.759 11.408
ATOMIC_POSITIONS angstrom
Tb 3.035 1.768 8.579
Tb 2.034 3.522 2.837
Tb -1.007 1.743 2.833
Tb 0.015 3.512 8.579
Tb -0.006 -0.011 8.575
Tb 2.013 -0.001 2.833
Er 0.002 3.513 0.002
Er 3.042 1.757 0.002
Tm -2.027 3.512 5.706
Tm 4.055 -0.001 5.706
Tm 1.014 1.756 5.706
Sc 0.000 0.000 0.000
```

Calculated values
Raw total energy ... -56.32 eV for the cell shown
Calculated density ... 8356 kg/m3
Formation energy from the elements ... 0.0278 eV/atom